VASP calculation (PBE) on a relaxed As2PCl crystal.

```
As2PCl
1.0
3.369 0.000 0.000
-1.684 2.917 0.000
0.000 0.000 27.731
As P Cl
6 3 3
direct
0.000 0.000 0.000
0.000 0.000 0.227
0.333 0.667 0.667
0.333 0.667 0.894
0.667 0.333 0.333
0.667 0.333 0.561
0.000 0.000 0.715
0.333 0.667 0.382
0.667 0.333 0.048
0.000 0.000 0.491
0.333 0.667 0.158
0.667 0.333 0.824
```

Computed properties:
DOS(E_F), states/eV per atom: 0.5289
Raw formation energy, meV per atom: 260


VASP calculation (PBE) on a relaxed AsPCl crystal.

```
AsPCl
1.0
3.624 0.000 0.000
-1.355 6.710 0.000
-1.338 -2.976 7.759
As P Cl
2 2 2
direct
0.000 0.000 0.000
0.335 0.094 0.774
0.439 0.208 0.265
0.959 0.341 0.162
0.165 0.386 0.762
0.879 0.834 0.557
```

Computed properties:
DOS(E_F), states/eV per atom: 0.0000
Raw formation energy, meV per atom: -151


VASP calculation (PBE) on a relaxed AsPCl3 crystal.

```
AsPCl3
1.0
5.065 0.000 0.000
0.000 5.065 0.000
0.000 0.000 5.065
As P Cl
1 1 3
direct
0.000 0.000 0.000
0.500 0.500 0.500
0.000 0.000 0.500
0.000 0.500 0.000
0.500 0.000 0.000
```

Computed properties:
DOS(E_F), states/eV per atom: 0.6376
Raw formation energy, meV per atom: 331


VASP calculation (PBE) on a relaxed AsPCl2 crystal.

```
AsPCl2
1.0
4.406 0.000 0.000
0.000 4.221 0.000
-0.214 0.000 4.414
As P Cl
1 1 2
direct
0.000 0.000 0.000
0.500 0.000 0.500
0.254 0.500 0.746
0.746 0.500 0.254
```

Computed properties:
DOS(E_F), states/eV per atom: 0.5389
Raw formation energy, meV per atom: 374


VASP calculation (PBE) on a relaxed AsPCl crystal.

```
AsPCl
1.0
3.363 0.000 0.000
0.000 9.601 0.000
0.000 0.000 12.433
As P Cl
4 4 4
direct
0.000 0.000 0.000
0.000 0.500 0.500
0.500 0.000 0.500
0.500 0.500 0.000
0.000 0.000 0.379
0.000 0.500 0.879
0.500 0.000 0.879
0.500 0.500 0.379
0.000 0.000 0.704
0.000 0.500 0.204
0.500 0.000 0.204
0.500 0.500 0.704
```

Computed properties:
DOS(E_F), states/eV per atom: 0.2220
Raw formation energy, meV per atom: 275


VASP calculation (PBE) on a relaxed As2P3Cl9 crystal.

```
As2P3Cl9
1.0
6.900 -4.510 0.000
6.900 4.510 0.000
-1.105 0.000 10.081
As P Cl
2 3 9
direct
0.188 0.188 0.234
0.812 0.812 0.766
0.203 0.167 0.755
0.557 0.443 0.000
0.833 0.797 0.245
0.012 0.305 0.399
0.094 0.702 0.720
0.298 0.906 0.280
0.370 0.018 0.901
0.414 0.257 0.311
0.695 0.988 0.601
0.743 0.586 0.689
0.782 0.218 0.000
0.982 0.630 0.099
```

Computed properties:
Raw formation energy, meV per atom: -146


Copy entry 6 word for word.
VASP calculation (PBE) on a relaxed As2P3Cl9 crystal.

```
As2P3Cl9
1.0
6.900 -4.510 0.000
6.900 4.510 0.000
-1.105 0.000 10.081
As P Cl
2 3 9
direct
0.188 0.188 0.234
0.812 0.812 0.766
0.203 0.167 0.755
0.557 0.443 0.000
0.833 0.797 0.245
0.012 0.305 0.399
0.094 0.702 0.720
0.298 0.906 0.280
0.370 0.018 0.901
0.414 0.257 0.311
0.695 0.988 0.601
0.743 0.586 0.689
0.782 0.218 0.000
0.982 0.630 0.099
```

Computed properties:
Raw formation energy, meV per atom: -146


What did the fifth record say?
VASP calculation (PBE) on a relaxed AsPCl crystal.

```
AsPCl
1.0
3.363 0.000 0.000
0.000 9.601 0.000
0.000 0.000 12.433
As P Cl
4 4 4
direct
0.000 0.000 0.000
0.000 0.500 0.500
0.500 0.000 0.500
0.500 0.500 0.000
0.000 0.000 0.379
0.000 0.500 0.879
0.500 0.000 0.879
0.500 0.500 0.379
0.000 0.000 0.704
0.000 0.500 0.204
0.500 0.000 0.204
0.500 0.500 0.704
```

Computed properties:
DOS(E_F), states/eV per atom: 0.2220
Raw formation energy, meV per atom: 275


> The highest raw formation energy belongs to which entry?

AsPCl2